No. 1
A plane-wave DFT calculation with PBE was carried out for a relaxed Sr2Br crystal.

Values from the calculation:
For the density of states at the Fermi level, the calculation gives 5.5 states/eV/cell. As for the space-group type: No. 63. For the total magnetic moment, the calculation gives 0.0 μB per cell. The total energy comes out at -15.14 eV for the cell shown.

Unit cell a=9.244 b=9.244 c=7.159 alpha=90.00 beta=90.00 gamma=154.72
Fractional positions:
Sr1 0.089 0.911 0.750
Sr2 0.207 0.793 0.250
Sr3 0.793 0.207 0.750
Sr4 0.911 0.089 0.250
Br1 0.448 0.552 0.750
Br2 0.552 0.448 0.250



No. 2
A plane-wave DFT calculation with PBE was carried out for a relaxed Sm3Dy3PuSe8 crystal.

Values from the calculation:
For the density of states at the Fermi level, the calculation gives 16.4 states/eV/cell. As for the space-group type: No. 166. For the total magnetic moment, the calculation gives 6.2 μB per cell. The total energy comes out at -97.17 eV for the cell shown.

Unit cell a=8.244 b=8.244 c=8.244 alpha=59.79 beta=59.79 gamma=59.79
Fractional positions:
Sm1 0.000 0.500 0.500
Sm2 0.500 0.000 0.500
Sm3 0.500 0.500 0.000
Dy1 0.000 0.000 0.500
Dy2 0.000 0.500 0.000
Dy3 0.500 0.000 0.000
Pu1 0.500 0.500 0.500
Se1 0.240 0.754 0.754
Se2 0.246 0.246 0.760
Se3 0.246 0.760 0.246
Se4 0.247 0.247 0.247
Se5 0.753 0.753 0.753
Se6 0.754 0.240 0.754
Se7 0.754 0.754 0.240
Se8 0.760 0.246 0.246



No. 3
A plane-wave DFT calculation with PBE was carried out for a relaxed Ac2MnSiRh6 crystal.

Values from the calculation:
For the density of states at the Fermi level, the calculation gives 12.5 states/eV/cell. As for the space-group type: No. 225. For the total magnetic moment, the calculation gives 3.5 μB per cell. The total energy comes out at -70.16 eV for the cell shown.

Unit cell a=6.532 b=6.532 c=6.532 alpha=60.00 beta=60.00 gamma=60.00
Fractional positions:
Ac1 0.250 0.250 0.250
Ac2 0.750 0.750 0.750
Mn1 0.000 0.000 0.000
Si1 0.500 0.500 0.500
Rh1 0.255 0.255 0.745
Rh2 0.255 0.745 0.255
Rh3 0.255 0.745 0.745
Rh4 0.745 0.255 0.255
Rh5 0.745 0.255 0.745
Rh6 0.745 0.745 0.255



No. 4
A plane-wave DFT calculation with PBE was carried out for a relaxed Cs2RbAgH crystal.

Values from the calculation:
For the density of states at the Fermi level, the calculation gives 3.6 states/eV/cell. As for the space-group type: No. 123. For the total magnetic moment, the calculation gives 0.5 μB per cell. The total energy comes out at -8.78 eV for the cell shown.

Unit cell a=6.050 b=6.050 c=5.745 alpha=90.00 beta=90.00 gamma=90.00
Fractional positions:
Cs1 0.000 0.500 0.000
Cs2 0.500 0.000 0.000
Rb1 0.000 0.000 0.500
Ag1 0.500 0.500 0.500
H1 0.000 0.000 0.000



No. 5
A plane-wave DFT calculation with PBE was carried out for a relaxed TlVAgTe3 crystal.

Values from the calculation:
For the density of states at the Fermi level, the calculation gives 6.9 states/eV/cell. As for the space-group type: No. 11. For the total magnetic moment, the calculation gives 2.7 μB per cell. The total energy comes out at -50.32 eV for the cell shown.

Unit cell a=8.523 b=4.020 c=10.453 alpha=90.00 beta=110.56 gamma=90.00
Fractional positions:
Tl1 0.243 0.250 0.220
Tl2 0.757 0.750 0.780
V1 0.204 0.750 0.668
V2 0.796 0.250 0.332
Ag1 0.434 0.250 0.893
Ag2 0.566 0.750 0.107
Te1 0.039 0.750 0.382
Te2 0.214 0.750 0.930
Te3 0.401 0.250 0.623
Te4 0.599 0.750 0.377
Te5 0.786 0.250 0.070
Te6 0.961 0.250 0.618



No. 6
A plane-wave DFT calculation with PBE was carried out for a relaxed BeSnB2 crystal.

Values from the calculation:
For the density of states at the Fermi level, the calculation gives 2.0 states/eV/cell. As for the space-group type: No. 2. The formation energy comes out at 0.183 eV per atom. For the total magnetic moment, the calculation gives 0.0 μB per cell. The total energy comes out at -40.70 eV for the cell shown.

Unit cell a=3.476 b=4.465 c=8.468 alpha=98.58 beta=100.11 gamma=99.91
Fractional positions:
Be1 0.024 0.308 0.398
Be2 0.976 0.692 0.602
Sn1 0.128 0.741 0.906
Sn2 0.872 0.259 0.094
B1 0.252 0.995 0.502
B2 0.435 0.670 0.500
B3 0.565 0.330 0.500
B4 0.748 0.005 0.498



No. 7
A plane-wave DFT calculation with PBE was carried out for a relaxed RbPaRuO6 crystal.

Values from the calculation:
For the density of states at the Fermi level, the calculation gives 11.1 states/eV/cell. As for the space-group type: No. 74. For the total magnetic moment, the calculation gives 1.8 μB per cell. The total energy comes out at -135.35 eV for the cell shown.

Unit cell a=7.666 b=7.666 c=7.666 alpha=122.78 beta=117.49 gamma=89.82
Fractional positions:
Rb1 0.365 0.115 0.250
Rb2 0.635 0.885 0.750
Pa1 0.000 0.500 0.500
Pa2 0.500 0.500 0.000
Ru1 0.000 0.000 0.500
Ru2 0.000 0.500 0.000
O1 0.034 0.784 0.250
O2 0.049 0.413 0.209
O3 0.049 0.840 0.637
O4 0.296 0.160 0.709
O5 0.296 0.587 0.137
O6 0.330 0.580 0.750
O7 0.670 0.420 0.250
O8 0.704 0.413 0.863
O9 0.704 0.840 0.291
O10 0.951 0.160 0.363
O11 0.951 0.587 0.791
O12 0.966 0.216 0.750



No. 8
A plane-wave DFT calculation with PBE was carried out for a relaxed Re2TcRu2 crystal.

Values from the calculation:
For the density of states at the Fermi level, the calculation gives 8.5 states/eV/cell. As for the space-group type: No. 127. The formation energy comes out at 0.266 eV per atom. For the total magnetic moment, the calculation gives 0.0 μB per cell. The total energy comes out at -104.97 eV for the cell shown.

Unit cell a=7.400 b=7.400 c=2.761 alpha=90.00 beta=90.00 gamma=90.00
Fractional positions:
Re1 0.171 0.329 0.000
Re2 0.329 0.829 0.000
Re3 0.671 0.171 0.000
Re4 0.829 0.671 0.000
Tc1 0.000 0.000 0.500
Tc2 0.500 0.500 0.500
Ru1 0.126 0.626 0.500
Ru2 0.374 0.126 0.500
Ru3 0.626 0.874 0.500
Ru4 0.874 0.374 0.500



No. 9
A plane-wave DFT calculation with PBE was carried out for a relaxed CeThNbN3 crystal.

Values from the calculation:
For the density of states at the Fermi level, the calculation gives 8.4 states/eV/cell. As for the space-group type: No. 11. For the total magnetic moment, the calculation gives 0.0 μB per cell. The total energy comes out at -110.06 eV for the cell shown.

Unit cell a=7.405 b=3.388 c=8.063 alpha=90.00 beta=91.46 gamma=90.00
Fractional positions:
Ce1 0.127 0.250 0.339
Ce2 0.873 0.750 0.661
Th1 0.392 0.750 0.674
Th2 0.608 0.250 0.326
Nb1 0.132 0.250 0.937
Nb2 0.868 0.750 0.063
N1 0.140 0.250 0.658
N2 0.159 0.750 0.093
N3 0.377 0.750 0.394
N4 0.623 0.250 0.606
N5 0.841 0.250 0.907
N6 0.860 0.750 0.342



No. 10
A plane-wave DFT calculation with PBE was carried out for a relaxed MgTi2BBr crystal.

Values from the calculation:
For the density of states at the Fermi level, the calculation gives 3.9 states/eV/cell. As for the space-group type: No. 123. For the total magnetic moment, the calculation gives 0.0 μB per cell. The total energy comes out at -19.16 eV for the cell shown.

Unit cell a=4.629 b=4.629 c=4.762 alpha=90.00 beta=90.00 gamma=90.00
Fractional positions:
Mg1 0.000 0.000 0.000
Ti1 0.000 0.500 0.500
Ti2 0.500 0.000 0.500
B1 0.500 0.500 0.000
Br1 0.000 0.000 0.500



No. 11
A plane-wave DFT calculation with PBE was carried out for a relaxed Ba3Au crystal.

Values from the calculation:
For the density of states at the Fermi level, the calculation gives 4.2 states/eV/cell. As for the space-group type: No. 71. The formation energy comes out at -0.318 eV per atom. For the total magnetic moment, the calculation gives 0.0 μB per cell. The total energy comes out at -10.32 eV for the cell shown.

Unit cell a=7.926 b=7.926 c=7.926 alpha=149.00 beta=132.13 gamma=58.13
Fractional positions:
Ba1 0.000 0.000 0.000
Ba2 0.319 0.819 0.500
Ba3 0.681 0.181 0.500
Au1 0.500 0.500 0.000



No. 12
A plane-wave DFT calculation with PBE was carried out for a relaxed Nd2ErCu6 crystal.

Values from the calculation:
For the density of states at the Fermi level, the calculation gives 4.6 states/eV/cell. As for the space-group type: No. 191. The formation energy comes out at -0.225 eV per atom. For the total magnetic moment, the calculation gives 0.0 μB per cell. The total energy comes out at -40.70 eV for the cell shown.

Unit cell a=7.381 b=7.381 c=3.683 alpha=90.00 beta=90.00 gamma=120.00
Fractional positions:
Nd1 0.333 0.667 0.000
Nd2 0.667 0.333 0.000
Er1 0.000 0.000 0.000
Cu1 0.000 0.330 0.500
Cu2 0.000 0.670 0.500
Cu3 0.330 0.000 0.500
Cu4 0.330 0.330 0.500
Cu5 0.670 0.000 0.500
Cu6 0.670 0.670 0.500



No. 13
A plane-wave DFT calculation with PBE was carried out for a relaxed SmGdSb crystal.

Values from the calculation:
For the density of states at the Fermi level, the calculation gives 2.4 states/eV/cell. As for the space-group type: No. 107. For the total magnetic moment, the calculation gives 8.0 μB per cell. The total energy comes out at -24.98 eV for the cell shown.

Unit cell a=5.962 b=5.962 c=5.962 alpha=140.07 beta=140.07 gamma=57.75
Fractional positions:
Sm1 0.000 0.000 0.000
Gd1 0.692 0.692 0.000
Sb1 0.344 0.344 0.000



No. 14
A plane-wave DFT calculation with PBE was carried out for a relaxed CeEuHoSc crystal.

Values from the calculation:
For the density of states at the Fermi level, the calculation gives 9.1 states/eV/cell. As for the space-group type: No. 216. The formation energy comes out at 0.226 eV per atom. For the total magnetic moment, the calculation gives 8.0 μB per cell. The total energy comes out at -26.21 eV for the cell shown.

Unit cell a=5.610 b=5.610 c=5.610 alpha=60.00 beta=60.00 gamma=60.00
Fractional positions:
Ce1 0.000 0.000 0.000
Eu1 0.500 0.500 0.500
Ho1 0.750 0.750 0.750
Sc1 0.250 0.250 0.250



No. 15
A plane-wave DFT calculation with PBE was carried out for a relaxed LaBi2N2 crystal.

Values from the calculation:
For the density of states at the Fermi level, the calculation gives 3.9 states/eV/cell. As for the space-group type: No. 127. For the total magnetic moment, the calculation gives 0.0 μB per cell. The total energy comes out at -58.13 eV for the cell shown.

Unit cell a=7.381 b=7.381 c=4.083 alpha=90.00 beta=90.00 gamma=90.00
Fractional positions:
La1 0.000 0.000 0.000
La2 0.500 0.500 0.000
Bi1 0.157 0.343 0.500
Bi2 0.343 0.843 0.500
Bi3 0.657 0.157 0.500
Bi4 0.843 0.657 0.500
N1 0.236 0.736 0.000
N2 0.264 0.236 0.000
N3 0.736 0.764 0.000
N4 0.764 0.264 0.000



No. 16
A plane-wave DFT calculation with PBE was carried out for a relaxed SrLiPm2In4 crystal.

Values from the calculation:
For the density of states at the Fermi level, the calculation gives 5.1 states/eV/cell. As for the space-group type: No. 166. The formation energy comes out at -0.374 eV per atom. For the total magnetic moment, the calculation gives 0.0 μB per cell. The total energy comes out at -27.04 eV for the cell shown.

Unit cell a=9.531 b=9.531 c=9.531 alpha=32.83 beta=32.83 gamma=32.83
Fractional positions:
Sr1 0.000 0.000 0.000
Li1 0.500 0.500 0.500
Pm1 0.245 0.245 0.245
Pm2 0.755 0.755 0.755
In1 0.127 0.127 0.127
In2 0.382 0.382 0.382
In3 0.618 0.618 0.618
In4 0.873 0.873 0.873



No. 17
A plane-wave DFT calculation with PBE was carried out for a relaxed CsMnCdCl6 crystal.

Values from the calculation:
As for the space-group type: No. 5. For the total magnetic moment, the calculation gives 4.0 μB per cell. The total energy comes out at -33.33 eV for the cell shown.

Unit cell a=6.561 b=6.561 c=7.739 alpha=91.89 beta=91.89 gamma=115.68
Fractional positions:
Cs1 0.000 0.000 0.000
Mn1 0.674 0.326 0.500
Cd1 0.323 0.677 0.500
Cl1 0.399 0.014 0.707
Cl2 0.399 0.352 0.322
Cl3 0.648 0.601 0.678
Cl4 0.650 0.020 0.330
Cl5 0.980 0.350 0.670
Cl6 0.986 0.601 0.293



No. 18
A plane-wave DFT calculation with PBE was carried out for a relaxed La4In12Pd crystal.

Values from the calculation:
For the density of states at the Fermi level, the calculation gives 4.9 states/eV/cell. As for the space-group type: No. 229. The formation energy comes out at -0.519 eV per atom. For the total magnetic moment, the calculation gives 0.0 μB per cell. The total energy comes out at -66.59 eV for the cell shown.

Unit cell a=8.336 b=8.336 c=8.336 alpha=109.47 beta=109.47 gamma=109.47
Fractional positions:
La1 0.000 0.000 0.500
La2 0.000 0.500 0.000
La3 0.500 0.000 0.000
La4 0.500 0.500 0.500
In1 0.000 0.285 0.285
In2 0.000 0.715 0.715
In3 0.250 0.500 0.750
In4 0.250 0.750 0.500
In5 0.285 0.000 0.285
In6 0.285 0.285 0.000
In7 0.500 0.250 0.750
In8 0.500 0.750 0.250
In9 0.715 0.000 0.715
In10 0.715 0.715 0.000
In11 0.750 0.250 0.500
In12 0.750 0.500 0.250
Pd1 0.000 0.000 0.000



No. 19
A plane-wave DFT calculation with PBE was carried out for a relaxed Ca2YPbO crystal.

Values from the calculation:
For the density of states at the Fermi level, the calculation gives 3.1 states/eV/cell. As for the space-group type: No. 123. For the total magnetic moment, the calculation gives 0.0 μB per cell. The total energy comes out at -26.30 eV for the cell shown.

Unit cell a=4.857 b=4.857 c=4.832 alpha=90.00 beta=90.00 gamma=90.00
Fractional positions:
Ca1 0.000 0.500 0.000
Ca2 0.500 0.000 0.000
Y1 0.000 0.000 0.500
Pb1 0.500 0.500 0.500
O1 0.000 0.000 0.000



No. 20
A plane-wave DFT calculation with PBE was carried out for a relaxed La3Pr2Y6Pu crystal.

Values from the calculation:
For the density of states at the Fermi level, the calculation gives 23.2 states/eV/cell. As for the space-group type: No. 12. The formation energy comes out at 0.043 eV per atom. For the total magnetic moment, the calculation gives 6.4 μB per cell. The total energy comes out at -76.94 eV for the cell shown.

Unit cell a=6.296 b=6.296 c=11.889 alpha=95.07 beta=95.07 gamma=120.03
Fractional positions:
La1 0.000 0.000 0.000
La2 0.333 0.667 0.000
La3 0.667 0.333 0.000
Pr1 0.167 0.833 0.500
Pr2 0.833 0.167 0.500
Y1 0.089 0.418 0.254
Y2 0.253 0.253 0.746
Y3 0.418 0.089 0.254
Y4 0.582 0.911 0.746
Y5 0.747 0.747 0.254
Y6 0.911 0.582 0.746
Pu1 0.500 0.500 0.500